SbRh2Br PBE optimized geometry; energy relative to the elements, uncorrected = 0.15 eV/f.u.; polymorph energy (0 for the lowest one) = 194 meV per atom; space group = No. 123
1.0
3.2714 0.0166 0.0000
-0.0192 3.2713 0.0000
0.0000 0.0000 6.9361
Rh Sb Br
2 1 1
Direct
0.0000 0.0000 0.4568
0.0000 0.0000 0.0432
0.5000 0.5000 0.2500
0.5000 0.5000 0.7500

=====

Tb8P3CS3 PBE optimized geometry; energy relative to the elements, uncorrected = -23.07 eV/f.u.; space group = No. 166
1.0
7.8894 0.0000 0.0000
-3.9447 6.8321 -0.0238
0.0000 -4.5324 6.4582
Tb S P C
8 3 3 1
Direct
0.2474 0.4949 0.2423
0.7728 0.0028 0.7328
0.7700 0.5399 0.2671
0.2300 0.0028 0.7328
0.2272 0.9972 0.2672
0.7700 0.9972 0.2672
0.7526 0.5051 0.7577
0.2300 0.4601 0.7329
0.5000 0.0000 0.5000
0.0000 0.5000 0.5000
0.5000 0.5000 0.5000
0.0000 0.0000 0.0000
0.5000 0.5000 0.0000
0.0000 0.5000 0.0000
0.0000 0.0000 0.5000

=====

BaLaZr PBE optimized geometry; formation energy = 0.33 eV/atom; polymorph energy (0 for the lowest one) = 0 meV per atom; space group = No. 107
1.0
-5.4471 1.0601 -6.9294
-5.4950 -2.4720 -6.5192
-3.1629 0.2315 1.6088
Zr Ba La
1 1 1
Direct
0.6792 0.6792 0.3208
0.0107 0.0107 0.9893
0.3101 0.3101 0.6899

=====

GdDyHoAl PBE optimized geometry; formation energy = -0.07 eV/atom; space group = No. 216
1.0
-2.5104 1.3858 -4.5114
1.3920 -2.2653 -4.6374
-3.3086 -3.4541 -2.3868
Al Gd Ho Dy
1 1 1 1
Direct
0.2500 0.2500 0.2500
0.5000 0.5000 0.5000
0.7500 0.7500 0.7500
0.0000 0.0000 0.0000

=====

MoPdW3 PBE optimized geometry; formation energy = 2.45 eV/atom; polymorph energy (0 for the lowest one) = 401 meV per atom; space group = No. 221
1.0
4.6661 0.0000 0.0000
0.0000 4.6661 0.0000
0.0000 0.0000 4.6661
W Pd Mo
3 1 1
Direct
0.5000 0.0000 0.0000
0.0000 0.0000 0.5000
0.0000 0.5000 0.0000
0.0000 0.0000 0.0000
0.5000 0.5000 0.5000

=====

Tb5ErSb6 PBE optimized geometry; energy relative to the elements, uncorrected = -13.67 eV/f.u.; space group = No. 12
1.0
-7.3002 -0.1457 2.1392
-4.4108 -1.1208 -6.1000
-1.8086 -7.0763 -2.1397
Er Sb Tb
1 6 5
Direct
0.0000 0.0000 0.0000
0.7513 0.0829 0.3315
0.7513 0.4144 0.6685
0.2492 0.2483 0.0000
0.2487 0.5856 0.3315
0.2487 0.9171 0.6685
0.7508 0.7517 0.0000
0.0000 0.3335 0.3330
0.5000 0.1674 0.6652
0.5000 0.8326 0.3348
0.0000 0.6665 0.6670
0.5000 0.5000 0.0000

=====

Pu2InPd9 PBE optimized geometry; formation energy = -0.52 eV/atom; space group = No. 123
1.0
4.1208 0.0000 0.0000
0.0000 4.1208 0.0000
0.0000 0.0000 12.2857
Pd Pu In
9 2 1
Direct
0.5000 0.5000 0.6693
0.0000 0.5000 0.1628
0.5000 0.0000 0.1628
0.5000 0.0000 0.5000
0.0000 0.5000 0.5000
0.5000 0.0000 0.8372
0.0000 0.5000 0.8372
0.5000 0.5000 0.3307
0.5000 0.5000 0.0000
0.0000 0.0000 0.3290
0.0000 0.0000 0.6710
0.0000 0.0000 0.0000

=====

CsLi2Fe2Cl6 PBE optimized geometry; energy relative to the elements, uncorrected = -13.62 eV/f.u.; space group = No. 2
1.0
-1.8122 0.6352 -6.7207
5.2693 -0.8145 -5.1347
-6.4985 -6.4134 1.2015
Cs Li Cl Fe
1 2 6 2
Direct
0.5000 0.0000 0.5000
0.2029 0.5943 0.0642
0.7971 0.4057 0.9358
0.9616 0.5872 0.8512
0.0384 0.4128 0.1488
0.9883 0.0271 0.3115
0.0117 0.9729 0.6885
0.5497 0.4082 0.1464
0.4503 0.5918 0.8536
0.9143 0.1722 0.1419
0.0857 0.8278 0.8581

=====

Cd5In12Hg2 PBE optimized geometry; formation energy = 0.04 eV/atom; polymorph energy (0 for the lowest one) = 8 meV per atom; space group = No. 12
1.0
9.4786 0.0000 0.0000
-4.7393 7.3159 0.8366
0.0000 -1.5773 7.1291
Cd In Hg
5 12 2
Direct
0.0000 0.0000 0.5000
0.2266 0.4533 0.4807
0.6616 0.3233 0.8890
0.3384 0.6767 0.1110
0.7734 0.5467 0.5193
0.1459 0.2919 0.8703
0.6183 0.7899 0.4263
0.5507 0.6079 0.8103
0.4493 0.3921 0.1897
0.0572 0.6079 0.8103
0.3817 0.2101 0.5737
0.5448 0.0896 0.2442
0.4552 0.9104 0.7558
0.8541 0.7081 0.1297
0.9428 0.3921 0.1897
0.1716 0.7899 0.4263
0.8284 0.2101 0.5737
0.7995 0.0000 0.0000
0.2005 0.0000 0.0000

=====

NbTe2NF PBE optimized geometry; energy relative to the elements, uncorrected = 5.06 eV/f.u.; polymorph energy (0 for the lowest one) = 1011 meV per atom; space group = No. 123
1.0
4.8374 0.0000 0.0000
0.0000 4.8374 0.0000
0.0000 0.0000 3.8411
Te Nb N F
2 1 1 1
Direct
0.5000 0.0000 0.0000
0.0000 0.5000 0.0000
0.5000 0.5000 0.5000
0.0000 0.0000 0.5000
0.0000 0.0000 0.0000

=====

AlPSeS2 PBE optimized geometry; energy relative to the elements, uncorrected = 2.25 eV/f.u.; polymorph energy (0 for the lowest one) = 0 meV per atom; space group = No. 123
1.0
4.5138 0.0000 0.0000
0.0000 4.5138 0.0000
0.0000 0.0000 4.8316
S Se P Al
2 1 1 1
Direct
0.5000 0.0000 0.0000
0.0000 0.5000 0.0000
0.5000 0.5000 0.5000
0.0000 0.0000 0.5000
0.0000 0.0000 0.0000

=====

ZrNp2Rh9 PBE optimized geometry; formation energy = -0.50 eV/atom; space group = No. 123
1.0
-2.5618 2.5420 -1.7258
-0.0021 -2.2485 -3.3086
-9.2229 -6.3574 4.3263
Np Rh Zr
2 9 1
Direct
0.0000 0.0000 0.3320
0.0000 0.0000 0.6680
0.5000 0.5000 0.3318
0.5000 0.5000 0.6682
0.0000 0.5000 0.1665
0.5000 0.0000 0.8335
0.5000 0.0000 0.1665
0.5000 0.5000 0.0000
0.0000 0.5000 0.5000
0.0000 0.5000 0.8335
0.5000 0.0000 0.5000
0.0000 0.0000 0.0000

=====

Cs2TlSb2 PBE optimized geometry; energy relative to the elements, uncorrected = -1.36 eV/f.u.; polymorph energy (0 for the lowest one) = 61 meV per atom; space group = No. 127
1.0
-2.0873 -1.4849 7.9954
7.8850 -2.3891 1.6147
1.4824 5.8938 1.4816
Sb Tl Cs
4 2 4
Direct
0.8796 0.6204 0.0000
0.6204 0.1204 0.0000
0.3796 0.8796 0.0000
0.1204 0.3796 0.0000
0.0000 0.0000 0.0000
0.5000 0.5000 0.0000
0.8268 0.3268 0.5000
0.1732 0.6732 0.5000
0.3268 0.1732 0.5000
0.6732 0.8268 0.5000

=====

In2SiNi PBE optimized geometry; energy relative to the elements, uncorrected = 1.80 eV/f.u.; space group = No. 216
1.0
-1.4030 -2.5077 -3.7948
0.7952 -4.6897 -0.1803
-3.6380 -3.0469 0.3731
In Si Ni
2 1 1
Direct
0.2500 0.2500 0.2500
0.0000 0.0000 0.0000
0.7500 0.7500 0.7500
0.5000 0.5000 0.5000

=====

Pm12Pr2Sm5 PBE optimized geometry; formation energy = 0.12 eV/atom; polymorph energy (0 for the lowest one) = 24 meV per atom; space group = No. 12
1.0
9.3918 0.0000 0.0000
-4.6959 11.4978 -1.9332
0.0000 -5.3661 7.0516
Pm Sm Pr
12 5 2
Direct
0.9269 0.8537 0.7313
0.6713 0.7025 0.9437
0.5644 0.7382 0.4150
0.0311 0.7025 0.9437
0.1738 0.7382 0.4150
0.4413 0.8825 0.2264
0.0731 0.1463 0.2687
0.8262 0.2618 0.5850
0.4356 0.2618 0.5850
0.9689 0.2975 0.0563
0.3287 0.2975 0.0563
0.5587 0.1175 0.7736
0.2905 0.5811 0.6140
0.2317 0.4634 0.8948
0.7095 0.4189 0.3860
0.0000 0.0000 0.5000
0.7683 0.5366 0.1052
0.3285 0.0000 0.0000
0.6715 0.0000 0.0000

=====

CoNiRu PBE optimized geometry; formation energy = 0.14 eV/atom; polymorph energy (0 for the lowest one) = 17 meV per atom; space group = No. 107
1.0
-5.2327 2.1088 0.3998
-4.7310 1.3082 2.8103
0.4033 2.4507 0.7314
Ni Co Ru
1 1 1
Direct
0.6620 0.6620 0.3380
0.0013 0.0013 0.9987
0.3367 0.3367 0.6633

=====

TbPm2Tm4 PBE optimized geometry; formation energy = 0.07 eV/atom; polymorph energy (0 for the lowest one) = 0 meV per atom; space group = No. 1
1.0
9.8938 -0.1541 2.2366
-0.7309 8.0599 -2.0793
-2.6959 -5.3960 6.2785
Tm Tb Pm
8 2 4
Direct
0.9136 0.1458 0.8970
0.8505 0.6872 0.2312
0.3409 0.6160 0.6316
0.6936 0.6729 0.7468
0.0451 0.9830 0.1499
0.2074 0.7986 0.3967
0.3982 0.0215 0.2477
0.5629 0.8415 0.4938
0.2660 0.2068 0.0150
0.9893 0.5863 0.5269
0.7589 0.1308 0.4045
0.6198 0.2388 0.1159
0.1136 0.3780 0.7677
0.4902 0.4428 0.8754

=====

DyBi2Se4 PBE optimized geometry; energy relative to the elements, uncorrected = -5.46 eV/f.u.; space group = No. 63
1.0
3.8915 0.0000 0.0000
-1.9457 7.4998 0.0000
0.0000 0.0000 13.7620
Bi Se Dy
4 8 2
Direct
0.1329 0.2657 0.4288
0.8671 0.7343 0.5712
0.1329 0.2657 0.0712
0.8671 0.7343 0.9288
0.9745 0.9489 0.7500
0.7956 0.5911 0.3761
0.2044 0.4089 0.8761
0.5000 0.0000 0.5000
0.2044 0.4089 0.6239
0.5000 0.0000 0.0000
0.7956 0.5911 0.1239
0.0255 0.0511 0.2500
0.3873 0.7747 0.2500
0.6127 0.2253 0.7500

=====

SrAcSmHo PBE optimized geometry; formation energy = 0.20 eV/atom; space group = No. 216
1.0
6.0690 0.0000 0.0000
3.0345 5.2559 0.0000
3.0345 1.7520 4.9553
Ho Sm Sr Ac
1 1 1 1
Direct
0.7500 0.7500 0.7500
0.0000 0.0000 0.0000
0.2500 0.2500 0.2500
0.5000 0.5000 0.5000

=====

ZnCrIn2 PBE optimized geometry; formation energy = 0.36 eV/atom; space group = No. 216
1.0
4.8980 0.0000 0.0000
2.4490 4.2418 0.0000
2.4490 1.4139 3.9992
Cr In Zn
1 2 1
Direct
0.5000 0.5000 0.5000
0.2500 0.2500 0.2500
0.0000 0.0000 0.0000
0.7500 0.7500 0.7500